Entry 1:
Density functional theory data (PBE-GGA) for PmCdSb2O8 after structural relaxation.

Computed properties:
The formation energy (no corrections) comes out at -1.596 eV per atom. For the spin magnetization, the calculation gives 1.1 μB per formula unit. For the density of states at the Fermi level, the calculation gives 9.5 states/eV/f.u. Its theoretical density is 6.44 g/cm³. The calculation puts the final energy at -6.060 eV per atom.

a = 5.360 Å, b = 5.360 Å, c = 11.289 Å
α = 90.00°, β = 90.00°, γ = 90.00°
Space group I-4 (No. 82)
One atom of each set of equivalent atoms:
Pm1 0.000 0.000 0.000 (multiplicity 2)
Cd1 0.000 0.500 0.750 (multiplicity 2)
Sb1 0.000 0.000 0.500 (multiplicity 2)
Sb2 0.000 0.500 0.250 (multiplicity 2)
O1 0.183 0.746 0.160 (multiplicity 8)
O2 0.188 0.240 0.590 (multiplicity 8)

=====

Entry 2:
Density functional theory data (PBE-GGA) for Pm2ScCdO after structural relaxation.

Computed properties:
The formation energy (no corrections) comes out at -1.304 eV per atom. For the spin magnetization, the calculation gives 0.0 μB per formula unit. For the density of states at the Fermi level, the calculation gives 4.1 states/eV/f.u. Its theoretical density is 6.96 g/cm³. The calculation puts the final energy at -5.646 eV per atom.

a = 5.024 Å, b = 5.024 Å, c = 4.381 Å
α = 90.00°, β = 90.00°, γ = 90.00°
Space group P4/mmm (No. 123)
One atom of each set of equivalent atoms:
Pm1 0.000 0.500 0.000 (multiplicity 2)
Sc1 0.000 0.000 0.500 (multiplicity 1)
Cd1 0.500 0.500 0.500 (multiplicity 1)
O1 0.000 0.000 0.000 (multiplicity 1)

=====

Entry 3:
Density functional theory data (PBE-GGA) for PmCdSeO5 after structural relaxation.

Computed properties:
The formation energy (no corrections) comes out at -1.496 eV per atom. For the spin magnetization, the calculation gives 0.9 μB per formula unit. For the density of states at the Fermi level, the calculation gives 1.0 states/eV/f.u. Its theoretical density is 4.90 g/cm³. The calculation puts the final energy at -5.739 eV per atom.

a = 8.487 Å, b = 9.005 Å, c = 8.511 Å
α = 90.00°, β = 119.86°, γ = 90.00°
Space group C2/c (No. 15)
One atom of each set of equivalent atoms:
Pm1 0.000 0.000 0.000 (multiplicity 4)
Cd1 0.000 0.316 0.250 (multiplicity 4)
Se1 0.000 0.340 0.750 (multiplicity 4)
O1 0.000 0.085 0.250 (multiplicity 4)
O2 0.025 0.264 0.562 (multiplicity 8)
O3 0.173 0.473 0.851 (multiplicity 8)

=====

Entry 4:
Density functional theory data (PBE-GGA) for Pm2SmCdO after structural relaxation.

Computed properties:
The formation energy (no corrections) comes out at -1.299 eV per atom. For the spin magnetization, the calculation gives 0.0 μB per formula unit. For the density of states at the Fermi level, the calculation gives 3.0 states/eV/f.u. Its theoretical density is 7.86 g/cm³. The calculation puts the final energy at -5.318 eV per atom.

a = 4.945 Å, b = 4.945 Å, c = 4.915 Å
α = 90.00°, β = 90.00°, γ = 90.00°
Space group P4/mmm (No. 123)
One atom of each set of equivalent atoms:
Pm1 0.000 0.500 0.000 (multiplicity 2)
Sm1 0.000 0.000 0.500 (multiplicity 1)
Cd1 0.500 0.500 0.500 (multiplicity 1)
O1 0.000 0.000 0.000 (multiplicity 1)

=====

> Which of these has the lowest final energy?

PmCdSb2O8

=====

Repeat the second record exactly.
Density functional theory data (PBE-GGA) for Pm2ScCdO after structural relaxation.

Computed properties:
The formation energy (no corrections) comes out at -1.304 eV per atom. For the spin magnetization, the calculation gives 0.0 μB per formula unit. For the density of states at the Fermi level, the calculation gives 4.1 states/eV/f.u. Its theoretical density is 6.96 g/cm³. The calculation puts the final energy at -5.646 eV per atom.

a = 5.024 Å, b = 5.024 Å, c = 4.381 Å
α = 90.00°, β = 90.00°, γ = 90.00°
Space group P4/mmm (No. 123)
One atom of each set of equivalent atoms:
Pm1 0.000 0.500 0.000 (multiplicity 2)
Sc1 0.000 0.000 0.500 (multiplicity 1)
Cd1 0.500 0.500 0.500 (multiplicity 1)
O1 0.000 0.000 0.000 (multiplicity 1)

=====

> What is the theoretical density in the third record?

4.90 g/cm³